Density functional theory data (meta-GGA SCAN) for a PBEsol-optimized structure of Y3Te.

```
Y3Te
1.0
-3.207 -3.465 2.500
0.832 -5.253 -0.505
1.834 -2.825 4.147
Te Y
1 3
Cartesian
0.000 0.000 0.000
-0.135 -2.886 1.535
-0.270 -5.771 3.071
-0.405 -8.657 4.606
```

Calculated values
* SG: Fm-3m
* raw formation energy: -0.20 eV/atom
* total moment: 0.286 μB/atom
* energy relative to the lowest polymorph listed for this composition: 533.4 meV per atom